# GGA-PBE La2GaRuN, optimized geometry
# - D(E_F) (states/eV/cell) = 8.77
# - energy above the most stable polymorph in this dataset (meV/atom) = 0
# - crystal system = tetragonal
# - raw total energy (eV/atom) = -6.793
# - formation energy (no corrections) (kJ/mol of formula units) = -336
data_La2GaRuN
_cell_length_a 4.0685
_cell_length_b 4.0685
_cell_length_c 12.6966
_cell_angle_alpha 90.00
_cell_angle_beta 90.00
_cell_angle_gamma 90.00
_symmetry_space_group_name_H-M 'P 4/n m m'
_symmetry_Int_Tables_number 129
loop_
_symmetry_equiv_pos_as_xyz
'x,y,z'
'-x,-y,-z'
'-y+1/2,x,z'
'y+1/2,-x,-z'
'-x+1/2,-y+1/2,z'
'x+1/2,y+1/2,-z'
'y,-x+1/2,z'
'-y,x+1/2,-z'
'x+1/2,-y,-z'
'-x+1/2,y,z'
'-y,-x,-z'
'y,x,z'
'-x,y+1/2,-z'
'x,-y+1/2,z'
'y+1/2,x+1/2,-z'
'-y+1/2,-x+1/2,z'
loop_
_atom_site_label
_atom_site_fract_x
_atom_site_fract_y
_atom_site_fract_z
_atom_site_occupancy
La1 0.2500 0.2500 0.0915 1
La2 0.2500 0.2500 0.7077 1
Ga1 0.2500 0.2500 0.3802 1
Ru1 0.2500 0.7500 0.5000 1
N1 0.2500 0.2500 0.9092 1